## one
ZrAsSe2O (GGA-PBE, optimized geometry); V = 140.6 Å³ per cell; M_tot = 0.472 μB/cell; DOS(E_F) = 1.558 states/eV/atom
1.0
-1.041 3.614 3.484
-2.759 -3.385 2.686
4.375 -1.387 2.746
O As Se Zr
1 1 2 1
Direct
0.500 0.500 0.500
0.000 0.000 0.500
0.000 0.500 0.000
0.500 0.000 0.000
0.000 0.000 0.000


## two
ZrAsSe2O (GGA-PBE, optimized geometry); V = 88.4 Å³ per cell; M_tot = 0.000 μB/cell; DOS(E_F) = 0.703 states/eV/atom
1.0
-1.765 1.622 3.846
0.021 -4.172 1.769
3.967 0.672 1.537
O As Se Zr
1 1 2 1
Direct
0.000 0.000 0.000
0.000 0.000 0.500
0.000 0.500 0.000
0.500 0.000 0.000
0.500 0.500 0.500


Which structure is most stable? two, by 587 meV per atom over the runner-up.


## one
ZrAs2SeO (GGA-PBE, optimized geometry); V = 86.6 Å³ per cell; M_tot = 0.000 μB/cell; DOS(E_F) = 0.626 states/eV/atom
1.0
4.281 0.000 0.000
0.000 4.281 0.000
0.000 0.000 4.724
O As Se Zr
1 2 1 1
Direct
0.000 0.000 0.000
0.000 0.500 0.000
0.500 0.000 0.000
0.000 0.000 0.500
0.500 0.500 0.500


## two
ZrAs2SeO (GGA-PBE, optimized geometry); V = 137.1 Å³ per cell; M_tot = 0.000 μB/cell; DOS(E_F) = 2.198 states/eV/atom
1.0
5.208 0.000 0.000
0.000 5.208 0.000
0.000 0.000 5.055
O As Se Zr
1 2 1 1
Direct
0.500 0.500 0.500
0.000 0.500 0.000
0.500 0.000 0.000
0.000 0.000 0.500
0.000 0.000 0.000


Which structure is most stable? one, by 871 meV per atom over the runner-up.


## one
SiAsO2 (GGA-PBE, optimized geometry); V = 47.1 Å³ per cell; M_tot = 0.000 μB/cell; DOS(E_F) = 0.200 states/eV/atom
1.0
1.652 0.000 6.640
-0.826 1.430 6.640
-0.826 -1.430 6.640
As Si O
1 1 2
Direct
0.500 0.500 0.500
0.000 0.000 0.000
0.916 0.916 0.916
0.084 0.084 0.084


## two
SiAsO2 (GGA-PBE, optimized geometry); V = 46.3 Å³ per cell; M_tot = 0.000 μB/cell; DOS(E_F) = 0.378 states/eV/atom
1.0
0.000 2.850 2.850
2.850 0.000 2.850
2.850 2.850 0.000
As Si O
1 1 2
Direct
0.500 0.500 0.500
0.000 0.000 0.000
0.250 0.250 0.250
0.750 0.750 0.750


## three
SiAsO2 (GGA-PBE, optimized geometry); V = 53.9 Å³ per cell; M_tot = 0.000 μB/cell; DOS(E_F) = 0.173 states/eV/atom
1.0
1.557 0.000 8.556
-0.779 1.349 8.556
-0.779 -1.349 8.556
As Si O
1 1 2
Direct
0.000 0.000 0.000
0.500 0.500 0.500
0.869 0.869 0.869
0.131 0.131 0.131


## four
SiAsO2 (GGA-PBE, optimized geometry); V = 106.9 Å³ per cell; M_tot = 0.000 μB/cell; DOS(E_F) = 0.205 states/eV/atom
1.0
-2.745 4.191 -1.812
-1.370 -2.773 -4.337
-5.137 -0.542 -1.302
As Si O
2 2 4
Direct
0.000 0.000 0.000
0.750 0.250 0.500
0.500 0.500 0.000
0.250 0.750 0.500
0.375 0.125 0.250
0.375 0.625 0.250
0.375 0.625 0.750
0.875 0.625 0.750


Which structure is most stable? three, by 221 meV per atom over the runner-up.


## one
Si3AsO (GGA-PBE, optimized geometry); V = 78.5 Å³ per cell; M_tot = 0.000 μB/cell; DOS(E_F) = 0.452 states/eV/atom
1.0
-1.074 -2.291 3.455
3.958 0.495 1.559
-1.234 3.584 1.993
As Si O
1 3 1
Direct
0.500 0.500 0.500
0.000 0.500 0.000
0.000 0.000 0.500
0.500 0.000 0.000
0.000 0.000 0.000


## two
Si3AsO (GGA-PBE, optimized geometry); V = 107.9 Å³ per cell; M_tot = 0.000 μB/cell; DOS(E_F) = 1.028 states/eV/atom
1.0
4.761 0.000 0.000
0.000 4.761 0.000
0.000 0.000 4.761
As Si O
1 3 1
Direct
0.000 0.000 0.000
0.000 0.500 0.000
0.000 0.000 0.500
0.500 0.000 0.000
0.500 0.500 0.500


Which structure is most stable? one, by 1156 meV per atom over the runner-up.